Arrangement one

RbMgRe | GGA-PBE | optimized geometry

The crystal system is triclinic.

It has space group P1 (No. 1), with a = 3.776 Å, b = 5.263 Å, c = 12.234 Å, α = 99.87°, β = 90.46° and γ = 110.90°. The inequivalent atoms are Rb at (0.000, 0.000, 0.000), Rb at (0.325, 0.682, 0.358), Mg at (0.219, 0.453, 0.788), Mg at (0.727, 0.477, 0.601), Re at (0.002, 0.025, 0.601) and Re at (0.488, 0.990, 0.715).

Arrangement two

RbMgRe | GGA-PBE | optimized geometry

The crystal system is monoclinic.

It has space group Cm (No. 8), with a = 7.583 Å, b = 4.382 Å, c = 12.927 Å, α = 90.00°, β = 90.28° and γ = 90.00°. The inequivalent atoms are Rb at (0.000, 0.000, 0.000), Rb at (0.174, 0.500, 0.642), Mg at (0.003, 0.000, 0.302), Mg at (0.337, 0.000, 0.408), Re at (0.169, 0.500, 0.230) and Re at (0.335, 0.000, 0.199).

Going by the energies, arrangement two is most stable and the next is 7.0 kJ/mol of atoms up.

Arrangement one

RbMg3Re | GGA-PBE | optimized geometry

The crystal system is cubic.

It has space group Pm-3m (No. 221), with a = 6.378 Å, b = 6.378 Å, c = 6.378 Å, α = 90.00°, β = 90.00° and γ = 90.00°. The inequivalent atoms are Rb at (0.000, 0.000, 0.000), Mg at (0.000, 0.000, 0.500) and Re at (0.500, 0.500, 0.500).

Arrangement two

RbMg3Re | GGA-PBE | optimized geometry

The crystal system is cubic.

It has space group Pm-3m (No. 221), with a = 5.324 Å, b = 5.324 Å, c = 5.324 Å, α = 90.00°, β = 90.00° and γ = 90.00°. The inequivalent atoms are Rb at (0.000, 0.000, 0.000), Mg at (0.000, 0.500, 0.500) and Re at (0.500, 0.500, 0.500).

Going by the energies, arrangement two is most stable and the next is 147.5 kJ/mol of atoms up.

Arrangement one

RbMg2Rh | GGA-PBE | optimized geometry

The crystal system is tetragonal.

It has space group I4_1/amd (No. 141, origin choice 2), with a = 6.275 Å, b = 6.275 Å, c = 15.445 Å, α = 90.00°, β = 90.00° and γ = 90.00°. The inequivalent atoms are Rb at (0.000, 0.250, 0.375), Mg at (0.000, 0.000, 0.000) and Rh at (0.000, 0.250, 0.875).

Arrangement two

RbMg2Rh | GGA-PBE | optimized geometry

The crystal system is cubic.

It has space group Fm-3m (No. 225), with a = 7.207 Å, b = 7.207 Å, c = 7.207 Å, α = 90.00°, β = 90.00° and γ = 90.00°. The inequivalent atoms are Rb at (0.000, 0.000, 0.000), Mg at (0.250, 0.250, 0.250) and Rh at (0.000, 0.000, 0.500).

Going by the energies, arrangement one is most stable and the next is 12.6 kJ/mol of atoms up.

Arrangement one

RbMg3Rh | GGA-PBE | optimized geometry

The crystal system is cubic.

It has space group Pm-3m (No. 221), with a = 5.857 Å, b = 5.857 Å, c = 5.857 Å, α = 90.00°, β = 90.00° and γ = 90.00°. The inequivalent atoms are Rb at (0.000, 0.000, 0.000), Mg at (0.000, 0.000, 0.500) and Rh at (0.500, 0.500, 0.500).

Arrangement two

RbMg3Rh | GGA-PBE | optimized geometry

The crystal system is cubic.

It has space group Pm-3m (No. 221), with a = 5.181 Å, b = 5.181 Å, c = 5.181 Å, α = 90.00°, β = 90.00° and γ = 90.00°. The inequivalent atoms are Rb at (0.000, 0.000, 0.000), Mg at (0.000, 0.500, 0.500) and Rh at (0.500, 0.500, 0.500).

Going by the energies, arrangement two is most stable and the next is 185.0 kJ/mol of atoms up.

Arrangement one

RbMgRh3 | GGA-PBE | optimized geometry

The crystal system is cubic.

It has space group Pm-3m (No. 221), with a = 4.834 Å, b = 4.834 Å, c = 4.834 Å, α = 90.00°, β = 90.00° and γ = 90.00°. The inequivalent atoms are Rb at (0.000, 0.000, 0.000), Mg at (0.500, 0.500, 0.500) and Rh at (0.000, 0.500, 0.500).

Arrangement two

RbMgRh3 | GGA-PBE | optimized geometry

The crystal system is cubic.

It has space group Pm-3m (No. 221), with a = 4.840 Å, b = 4.840 Å, c = 4.840 Å, α = 90.00°, β = 90.00° and γ = 90.00°. The inequivalent atoms are Rb at (0.000, 0.000, 0.000), Mg at (0.500, 0.500, 0.500) and Rh at (0.000, 0.000, 0.500).

Going by the energies, arrangement one is most stable and the next is 85.5 kJ/mol of atoms up.

Arrangement one

Rb2MgRh2 | GGA-PBE | optimized geometry

The crystal system is tetragonal.

It has space group P4/mbm (No. 127), with a = 6.870 Å, b = 6.870 Å, c = 5.764 Å, α = 90.00°, β = 90.00° and γ = 90.00°. The inequivalent atoms are Rb at (0.178, 0.322, 0.000), Mg at (0.000, 0.000, 0.500) and Rh at (0.128, 0.628, 0.500).

Arrangement two

Rb2MgRh2 | GGA-PBE | optimized geometry

The crystal system is tetragonal.

It has space group I4/mmm (No. 139), with a = 4.396 Å, b = 4.396 Å, c = 14.531 Å, α = 90.00°, β = 90.00° and γ = 90.00°. The inequivalent atoms are Rb at (0.000, 0.500, 0.250), Mg at (0.000, 0.000, 0.000) and Rh at (0.000, 0.000, 0.417).

Going by the energies, arrangement one is most stable and the next is 51.7 kJ/mol of atoms up.